# GaPb, relaxed, DFT GGA-PBE
# E_form: 34.3 kJ per mole of atoms
data_GaPb
_chemical_formula_sum 'Ga6 Pb6'
_cell_length_a 11.2562
_cell_length_b 11.2562
_cell_length_c 4.5280
_cell_angle_alpha 90.00
_cell_angle_beta 90.00
_cell_angle_gamma 120.00
_symmetry_space_group_name_H-M 'P 63/m'
_symmetry_Int_Tables_number 176
_symmetry_space_group_name_Hall '-P 6c'
loop_
_atom_site_label
_atom_site_fract_x
_atom_site_fract_y
_atom_site_fract_z
Ga1 0.1011 0.4290 0.2500
Pb1 0.0685 0.6653 0.2500